LaTlZn2, relaxed, DFT PBE-GGA; space-group type = No. 10; formation energy from the elements = -0.140 eV per atom
1.0
-0.795 -3.320 -3.274
-0.689 -2.362 2.563
-5.769 1.513 -0.132
La Tl Zn
1 1 2
Direct
0.500 0.250 0.250
0.500 0.750 0.750
0.000 0.752 0.016
0.000 0.748 0.484


V2OsRh, relaxed, DFT PBE-GGA; space-group type = No. 123; formation energy from the elements = -0.248 eV per atom
1.0
-2.270 1.023 1.367
0.048 -2.235 1.752
4.156 3.464 4.307
Rh Os V
1 1 2
Direct
0.500 0.500 0.500
0.500 0.500 0.000
0.000 0.000 0.759
0.000 0.000 0.241


CsLiIN2, relaxed, DFT PBE-GGA; ΔE_f (raw) = 152 kJ/mol of atoms; space-group type = No. 123
1.0
4.593 0.000 0.000
0.000 4.593 0.000
0.000 0.000 7.829
Cs I Li N
1 1 1 2
Direct
0.000 0.000 0.000
0.000 0.000 0.500
0.500 0.500 0.500
0.000 0.500 0.000
0.500 0.000 0.000


Dy8Er2Pu, relaxed, DFT PBE-GGA; space-group type = No. 12; formation energy from the elements = 0.044 eV per atom
1.0
4.802 0.000 -1.279
-0.517 7.617 -1.943
-0.088 -0.076 9.325
Er Pu Dy
2 1 8
Direct
0.227 0.636 0.454
0.773 0.364 0.546
0.500 0.000 0.000
0.591 0.451 0.181
0.320 0.091 0.640
0.136 0.180 0.272
0.045 0.730 0.089
0.864 0.820 0.728
0.680 0.909 0.360
0.409 0.549 0.819
0.955 0.270 0.911


CaNd2SmSe4, relaxed, DFT PBE-GGA; ΔE_f (raw) = -180 kJ/mol of atoms; space-group type = No. 10
1.0
-3.491 1.308 -1.892
0.570 -5.464 -4.829
-3.565 -5.817 2.558
Ca Nd Sm Se
1 2 1 4
Direct
0.500 0.500 0.000
0.000 0.000 0.000
0.500 0.000 0.500
0.000 0.500 0.500
0.000 0.743 0.754
0.000 0.257 0.246
0.500 0.743 0.250
0.500 0.257 0.750


PaSeO, relaxed, DFT PBE-GGA; ΔE_f (raw) = -164 kJ/mol of atoms; space-group type = No. 216
1.0
-3.912 -1.213 1.746
-1.134 -4.303 0.145
-0.128 -2.138 3.903
Pa O Se
1 1 1
Direct
0.250 0.250 0.250
0.500 0.500 0.500
0.000 0.000 0.000


CoTe2P, relaxed, DFT PBE-GGA; ΔE_f (raw) = 32 kJ/mol of atoms; space-group type = No. 166
1.0
-1.475 -4.711 6.609
-2.388 -6.953 3.742
1.199 -6.610 4.787
P Te Co
1 2 1
Direct
0.000 0.000 0.000
0.889 0.889 0.889
0.111 0.111 0.111
0.500 0.500 0.500


Pu2Ge4IrPd3, relaxed, DFT PBE-GGA; space-group type = No. 115; formation energy from the elements = -0.563 eV per atom
1.0
4.174 0.000 0.000
0.000 4.174 0.000
0.000 0.000 10.766
Pu Ge Ir Pd
2 4 1 3
Direct
0.500 0.000 0.253
0.000 0.500 0.747
0.500 0.500 0.000
0.000 0.000 0.000
0.500 0.000 0.632
0.000 0.500 0.368
0.500 0.500 0.500
0.000 0.000 0.500
0.500 0.000 0.861
0.000 0.500 0.139


Hf2TaMnTl, relaxed, DFT PBE-GGA; space-group type = No. 123; formation energy from the elements = 2.339 eV per atom
1.0
5.177 0.000 0.000
0.000 5.087 0.000
0.000 0.000 5.177
Tl Mn Hf Ta
1 1 2 1
Direct
0.000 0.000 0.000
0.500 0.500 0.500
0.000 0.000 0.500
0.500 0.000 0.000
0.000 0.500 0.000


Zr4NiSn, relaxed, DFT PBE-GGA; space-group type = No. 124; formation energy from the elements = -0.333 eV per atom
1.0
-0.775 0.787 -5.489
5.464 -3.697 -1.301
-3.807 -5.537 -0.257
Zr Ni Sn
8 2 2
Direct
0.000 0.175 0.640
0.000 0.825 0.360
0.000 0.360 0.175
0.000 0.640 0.825
0.500 0.825 0.640
0.500 0.175 0.360
0.500 0.640 0.175
0.500 0.360 0.825
0.250 0.500 0.500
0.750 0.500 0.500
0.250 0.000 0.000
0.750 0.000 0.000


Sm2ErUN4, relaxed, DFT PBE-GGA; ΔE_f (raw) = -150 kJ/mol of atoms; space-group type = No. 10
1.0
3.505 0.000 0.000
0.000 6.000 0.117
0.000 -2.086 5.709
Sm Er U N
2 1 1 4
Direct
0.500 0.000 0.500
0.000 0.500 0.500
0.500 0.500 0.000
0.000 0.000 0.000
0.500 0.232 0.221
0.500 0.768 0.779
0.000 0.240 0.778
0.000 0.760 0.222


KTiIr3, relaxed, DFT PBE-GGA; space-group type = No. 221; formation energy from the elements = 2.727 eV per atom
1.0
-4.408 0.989 -0.970
-1.310 -1.927 3.990
0.449 4.081 2.119
K Ir Ti
1 3 1
Direct
0.000 0.000 0.000
0.000 0.500 0.000
0.000 0.000 0.500
0.500 0.000 0.000
0.500 0.500 0.500


Number 1: VASP energy -0.0956 Ha/atom, density of states at the Fermi level 3.0 states/eV/cell. Number 2: VASP energy -0.3474 Ha/atom, density of states at the Fermi level 6.0 states/eV/cell. Number 3: VASP energy -0.0964 Ha/atom, density of states at the Fermi level 2.2 states/eV/cell. Number 4: VASP energy -0.1997 Ha/atom, density of states at the Fermi level 20.7 states/eV/cell. Number 5: VASP energy -0.2073 Ha/atom, density of states at the Fermi level 3.2 states/eV/cell. Number 6: VASP energy -0.2824 Ha/atom, density of states at the Fermi level 4.2 states/eV/cell. Number 7: VASP energy -0.1604 Ha/atom, density of states at the Fermi level 3.2 states/eV/cell. Number 8: VASP energy -0.2837 Ha/atom, density of states at the Fermi level 27.1 states/eV/cell. Number 9: VASP energy -0.2322 Ha/atom, density of states at the Fermi level 13.5 states/eV/cell. Number 10: VASP energy -0.2816 Ha/atom, density of states at the Fermi level 12.6 states/eV/cell. Number 11: VASP energy -0.3264 Ha/atom, density of states at the Fermi level 5.0 states/eV/cell. Number 12: VASP energy -0.1613 Ha/atom, density of states at the Fermi level 5.2 states/eV/cell.